Sr3Tl2Cd2 | the Alexandria database | PBE-GGA | optimized geometry; SG = Cmmm, No. 65; calculated density = 6.394 g/cm3; formation energy = -342 meV/atom; magnetization = 0.000 μB per formula unit; uncorrected energy = -2.000 eV/atom; volume = 232.8 Å³/cell
1.0
4.647 0.000 0.617
0.000 3.994 0.000
0.688 0.000 12.635
Cd Sr Tl
2 3 2
Direct
0.718 0.500 0.564
0.282 0.500 0.436
0.157 0.000 0.685
0.000 0.000 0.000
0.843 0.000 0.315
0.581 0.500 0.839
0.419 0.500 0.161